Entry 1:
Computed, not measured: Mn2ZnCu after structural relaxation at the GGA-PBE level of DFT.

POSCAR file:
```
Mn2ZnCu
1.0
1.3204 0.7623 8.6264
-1.3204 0.7623 8.6264
0.0000 -1.5247 8.6264
Mn Zn Cu
2 1 1
Direct
0.2488 0.2488 0.2488
0.7512 0.7512 0.7512
0.0000 0.0000 0.0000
0.5000 0.5000 0.5000
```

Results
* energy of formation from the pure elements: 0.223 eV/atom

---

Entry 2:
Computed, not measured: MnZn8Cu2 after structural relaxation at the GGA-PBE level of DFT.

POSCAR file:
```
MnZn8Cu2
1.0
4.6662 0.0000 0.0000
-0.7308 4.6384 0.0000
-0.1329 -0.7726 7.1094
Mn Zn Cu
1 8 2
Direct
0.0000 0.0000 0.0000
0.0841 0.5493 0.1828
0.1746 0.0872 0.3621
0.2813 0.6379 0.5478
0.4582 0.7284 0.9116
0.5418 0.2716 0.0884
0.7187 0.3621 0.4522
0.8254 0.9128 0.6379
0.9159 0.4507 0.8172
0.3700 0.1745 0.7255
0.6300 0.8255 0.2745
```

Results
* energy of formation from the pure elements: -0.003 eV/atom

---

Entry 3:
Computed, not measured: MnZn2Cu after structural relaxation at the GGA-PBE level of DFT.

POSCAR file:
```
MnZn2Cu
1.0
4.3253 -1.3476 0.0000
4.3253 1.3476 0.0000
-0.7494 0.0000 4.7098
Mn Zn Cu
1 2 1
Direct
0.0000 0.0000 0.0000
0.2478 0.2478 0.7447
0.7522 0.7522 0.2553
0.5000 0.5000 0.5000
```

Results
* energy of formation from the pure elements: 0.057 eV/atom

---

Entry 4:
Computed, not measured: MnZn4Cu after structural relaxation at the GGA-PBE level of DFT.

POSCAR file:
```
MnZn4Cu
1.0
2.7465 0.0000 0.0000
0.0000 2.7465 0.0000
0.0000 0.0000 10.9645
Mn Zn Cu
1 4 1
Direct
0.0000 0.0000 0.0000
0.0000 0.0000 0.3408
0.0000 0.0000 0.6592
0.5000 0.5000 0.1626
0.5000 0.5000 0.8374
0.5000 0.5000 0.5000
```

Results
* energy of formation from the pure elements: -0.016 eV/atom
* polymorph energy (0 for the lowest one): 0 meV/atom

---

Entry 5:
Computed, not measured: Mn2ZnCu2 after structural relaxation at the GGA-PBE level of DFT.

POSCAR file:
```
Mn2ZnCu2
1.0
6.8757 0.0000 0.0000
0.0000 6.8757 0.0000
0.0000 0.0000 2.9559
Mn Zn Cu
4 2 4
Direct
0.1678 0.3322 0.0000
0.3322 0.8322 0.0000
0.6678 0.1678 0.0000
0.8322 0.6678 0.0000
0.0000 0.0000 0.5000
0.5000 0.5000 0.5000
0.1289 0.6289 0.5000
0.3711 0.1289 0.5000
0.6289 0.8711 0.5000
0.8711 0.3711 0.5000
```

Results
* energy of formation from the pure elements: 0.191 eV/atom

---

Entry 6:
Computed, not measured: Mn2ZnCu after structural relaxation at the GGA-PBE level of DFT.

POSCAR file:
```
Mn2ZnCu
1.0
3.8573 0.0000 0.0000
0.0000 3.8573 0.0000
0.0000 0.0000 3.6083
Mn Zn Cu
2 1 1
Direct
0.0000 0.5000 0.0000
0.5000 0.0000 0.0000
0.0000 0.0000 0.5000
0.5000 0.5000 0.5000
```

Results
* energy of formation from the pure elements: 0.133 eV/atom

---

Entry 7:
Computed, not measured: Mn2ZnCu after structural relaxation at the GGA-PBE level of DFT.

POSCAR file:
```
Mn2ZnCu
1.0
4.4484 -1.2931 0.0000
4.4484 1.2931 0.0000
-0.7633 0.0000 4.3948
Mn Zn Cu
2 1 1
Direct
0.2487 0.2487 0.2471
0.7513 0.7513 0.7529
0.0000 0.0000 0.5000
0.5000 0.5000 0.0000
```

Results
* energy of formation from the pure elements: 0.192 eV/atom

---

Entry 8:
Computed, not measured: MnZnCu14 after structural relaxation at the GGA-PBE level of DFT.

POSCAR file:
```
MnZnCu14
1.0
8.3794 0.0000 0.0000
0.0000 2.6131 4.4739
0.0000 -2.6131 4.4739
Mn Zn Cu
1 1 14
Direct
0.0000 0.0000 0.0000
0.0000 0.5010 0.5010
0.0000 0.5002 0.9993
0.0000 0.9993 0.5002
0.2502 0.3320 0.3320
0.2529 0.8321 0.8321
0.2539 0.3323 0.8339
0.2539 0.8339 0.3323
0.5000 0.1652 0.1652
0.5000 0.1654 0.6631
0.5000 0.6631 0.1654
0.5000 0.6643 0.6643
0.7461 0.3323 0.8339
0.7461 0.8339 0.3323
0.7471 0.8321 0.8321
0.7498 0.3320 0.3320
```

Results
* energy of formation from the pure elements: 0.022 eV/atom

---

Entry 9:
Computed, not measured: MnZn2Cu after structural relaxation at the GGA-PBE level of DFT.

POSCAR file:
```
MnZn2Cu
1.0
2.8267 0.0000 0.0000
0.0000 4.3372 0.0000
0.0000 0.0000 4.4317
Mn Zn Cu
1 2 1
Direct
0.0000 0.0000 0.0000
0.5000 0.0000 0.5022
0.5000 0.5000 0.8939
0.0000 0.5000 0.3882
```

Results
* energy of formation from the pure elements: 0.027 eV/atom

---

Entry 10:
Computed, not measured: MnZn2Cu after structural relaxation at the GGA-PBE level of DFT.

POSCAR file:
```
MnZn2Cu
1.0
4.3901 -1.3628 0.0000
4.3901 1.3628 0.0000
-0.8529 0.0000 4.5649
Mn Zn Cu
1 2 1
Direct
0.0000 0.0000 0.0000
0.2483 0.2483 0.7494
0.4958 0.4958 0.4906
0.7487 0.7487 0.2433
```

Results
* energy of formation from the pure elements: 0.049 eV/atom

---

Entry 11:
Computed, not measured: Mn2ZnCu after structural relaxation at the GGA-PBE level of DFT.

POSCAR file:
```
Mn2ZnCu
1.0
-1.9468 1.9620 3.4265
1.9468 -1.9620 3.4265
1.9468 1.9620 -3.4265
Mn Zn Cu
2 1 1
Direct
0.0000 0.0000 0.0000
0.7508 0.2508 0.5000
0.2504 0.7504 0.5000
0.5003 0.5003 0.0000
```

Results
* energy of formation from the pure elements: 0.076 eV/atom

---

Entry 12:
Computed, not measured: MnZn2Cu after structural relaxation at the GGA-PBE level of DFT.

POSCAR file:
```
MnZn2Cu
1.0
1.3385 0.7728 8.6570
-1.3385 0.7728 8.6570
0.0000 -1.5456 8.6570
Mn Zn Cu
1 2 1
Direct
0.0000 0.0000 0.0000
0.2487 0.2487 0.2487
0.7513 0.7513 0.7513
0.5000 0.5000 0.5000
```

Results
* energy of formation from the pure elements: 0.051 eV/atom

---

What did the eighth record say?
Computed, not measured: MnZnCu14 after structural relaxation at the GGA-PBE level of DFT.

POSCAR file:
```
MnZnCu14
1.0
8.3794 0.0000 0.0000
0.0000 2.6131 4.4739
0.0000 -2.6131 4.4739
Mn Zn Cu
1 1 14
Direct
0.0000 0.0000 0.0000
0.0000 0.5010 0.5010
0.0000 0.5002 0.9993
0.0000 0.9993 0.5002
0.2502 0.3320 0.3320
0.2529 0.8321 0.8321
0.2539 0.3323 0.8339
0.2539 0.8339 0.3323
0.5000 0.1652 0.1652
0.5000 0.1654 0.6631
0.5000 0.6631 0.1654
0.5000 0.6643 0.6643
0.7461 0.3323 0.8339
0.7461 0.8339 0.3323
0.7471 0.8321 0.8321
0.7498 0.3320 0.3320
```

Results
* energy of formation from the pure elements: 0.022 eV/atom

---

Question: Which value of energy of formation from the pure elements does entry 9 give?
Answer: 0.027 eV/atom